The following is a GGA-PBEsol calculation of crystalline ZnGaB2 at its relaxed geometry, from the Alexandria database.

Cell and atoms, written as POSCAR:
```
ZnGaB2
1.0
-4.4865 0.6891 2.6648
3.2915 -3.7543 1.6661
3.6279 3.8034 0.2779
Ga Zn B
2 2 4
direct
0.5000 0.7500 0.2500 Ga
0.0000 0.0000 0.0000 Ga
0.0000 0.5000 0.5000 Zn
0.5000 0.2500 0.7500 Zn
0.5007 0.3750 0.3757 B
0.9993 0.6243 0.1250 B
0.0007 0.1257 0.6250 B
0.4993 0.8750 0.8743 B
```

Properties
**Formation energy**: 1093 meV/atom
**Offset from the most stable computed form**: 0 meV/atom
**D(E_F)**: 3.50 states/eV per cell
**Symmetry**: I-42d, No. 122
**Raw total energy**: -3.65 eV per atom